# NdTlAu

A relaxed structure of NdTlAu (PBE, the Open Quantum Materials Database).

a = 5.237 Å, b = 5.237 Å, c = 6.471 Å
α = 90.00°, β = 90.00°, γ = 119.99°
Positions (direct):
Au 0.667 0.333 0.250
Au 0.333 0.667 0.750
Nd 0.333 0.667 0.250
Nd 0.667 0.333 0.750
Tl 0.000 0.000 0.000
Tl 0.000 0.000 0.500

SG   P6_3/mmc, No. 194
ρ   11.79 Mg/m³
DFT total energy   -24.45 eV per cell